(w)
The following is a PBE calculation of an optimized crystal structure of PaTaRu2, from the Alexandria database.

a b c (Å): 5.3804 5.3804 5.3804
angles (deg): 47.13 47.13 47.13
Fractional positions:
Pa (0.0000, 0.0000, 0.0000)
Ta (0.5000, 0.5000, 0.5000)
Ru (0.2257, 0.2257, 0.2257)
Ru (0.7743, 0.7743, 0.7743)

(x)
The following is a PBE calculation of an optimized crystal structure of PaTaRu2, from the Alexandria database.

a b c (Å): 3.1064 3.1064 7.3869
angles (deg): 90.00 90.00 90.00
Fractional positions:
Pa (0.0000, 0.0000, 0.0000)
Ta (0.0000, 0.0000, 0.5000)
Ru (0.5000, 0.5000, 0.2884)
Ru (0.5000, 0.5000, 0.7116)

Most stable of them? (x).